DFT (PBE) results for a relaxed structure of TcPbO3.

As for the magnetization: 5.0 Bohr magnetons per cell. For the raw formation energy, the calculation gives 0.1507 eV per atom. The energy is -5.639 eV per atom. Its theoretical density is 8.0 g/cm3.

Geometry as CIF:
```
data_TcPbO3
_symmetry_space_group_name_H-M 'P m -3 m'
_symmetry_Int_Tables_number 221
_symmetry_space_group_name_Hall '-P 4 2 3'
_cell_length_a 4.1890
_cell_length_b 4.1890
_cell_length_c 4.1890
_cell_angle_alpha 90.00
_cell_angle_beta 90.00
_cell_angle_gamma 90.00
loop_
_atom_site_label
_atom_site_fract_x
_atom_site_fract_y
_atom_site_fract_z
_atom_site_occupancy
Tc1 0.0000 0.0000 0.0000 1
Pb1 0.5000 0.5000 0.5000 1
O1 0.0000 0.5000 0.5000 1
```